# 1
# TePd10, optimized geometry, DFT PBE
# excess energy over the best structure of this formula in the dataset = 0.1191 eV/atom
# E_tot = -108.97 eV per cell
# V = 19.97 A^3/atom
data_TePd10
_chemical_formula_sum 'Te2 Pd20'
_cell_length_a 2.8369
_cell_length_b 2.8369
_cell_length_c 54.5961
_cell_angle_alpha 90.00
_cell_angle_beta 90.00
_cell_angle_gamma 90.00
_symmetry_space_group_name_H-M 'P 1'
_symmetry_Int_Tables_number 1
loop_
_symmetry_equiv_pos_as_xyz
'x,y,z'
loop_
_atom_site_label
_atom_site_fract_x
_atom_site_fract_y
_atom_site_fract_z
Te1 0.2500 0.2500 0.1304
Te2 0.7500 0.7500 0.8696
Pd1 0.2500 0.2500 0.2044
Pd2 0.2500 0.2500 0.2742
Pd3 0.2500 0.2500 0.3435
Pd4 0.2500 0.2500 0.4130
Pd5 0.2500 0.2500 0.4826
Pd6 0.2500 0.2500 0.5522
Pd7 0.2500 0.2500 0.6218
Pd8 0.2500 0.2500 0.6911
Pd9 0.2500 0.2500 0.7604
Pd10 0.2500 0.2500 0.8318
Pd11 0.7500 0.7500 0.1682
Pd12 0.7500 0.7500 0.2396
Pd13 0.7500 0.7500 0.3089
Pd14 0.7500 0.7500 0.3782
Pd15 0.7500 0.7500 0.4478
Pd16 0.7500 0.7500 0.5174
Pd17 0.7500 0.7500 0.5870
Pd18 0.7500 0.7500 0.6565
Pd19 0.7500 0.7500 0.7258
Pd20 0.7500 0.7500 0.7956

# 2
# TePd8, optimized geometry, DFT PBE
# excess energy over the best structure of this formula in the dataset = 0.0000 eV/atom
# E_tot = -45.84 eV per cell
# V = 15.87 A^3/atom
data_TePd8
_chemical_formula_sum 'Te1 Pd8'
_cell_length_a 6.2737
_cell_length_b 6.2737
_cell_length_c 6.2737
_cell_angle_alpha 95.98
_cell_angle_beta 95.98
_cell_angle_gamma 142.34
_symmetry_space_group_name_H-M 'P 1'
_symmetry_Int_Tables_number 1
loop_
_symmetry_equiv_pos_as_xyz
'x,y,z'
loop_
_atom_site_label
_atom_site_fract_x
_atom_site_fract_y
_atom_site_fract_z
Te1 0.0000 0.0000 0.0000
Pd1 0.0000 0.3345 0.3345
Pd2 0.0000 0.6655 0.6655
Pd3 0.3317 0.3317 0.6634
Pd4 0.3317 0.6683 0.0000
Pd5 0.3345 0.0000 0.3345
Pd6 0.6655 0.0000 0.6655
Pd7 0.6683 0.3317 0.0000
Pd8 0.6683 0.6683 0.3366